Material: Ce3GaTc
Method: DFT, PBE-GGA
State: relaxed

POSCAR file:
```
Ce3GaTc
1.0
-2.960 -4.078 -2.360
4.495 0.973 -3.132
3.307 -3.821 6.928
Ce Ga Tc
6 2 2
Direct
0.198 0.698 0.897
0.802 0.302 0.103
0.201 0.111 0.312
0.389 0.299 0.688
0.799 0.889 0.688
0.611 0.701 0.312
0.807 0.307 0.500
0.193 0.693 0.500
0.750 0.750 0.000
0.250 0.250 0.000
```

Calculated values
- energy relative to the lowest polymorph listed for this composition (meV/atom) = 0
- uncorrected energy (eV/atom) = -6.52
- formation energy from the elements (eV/atom) = -0.2813